# 1
An optimized crystal structure of La3FePb. Source: the Alexandria database, functional PBE-GGA. Values from VASP.

The structure in Quantum ESPRESSO input format:
```
&SYSTEM
  ibrav = 0, nat = 10, ntyp = 3
/
ATOMIC_SPECIES
Pb 207.20 Pb.upf
Fe 55.84 Fe.upf
La 138.91 La.upf
ATOMIC_POSITIONS crystal
Pb 0.1715 0.8285 0.2500
Pb 0.8285 0.1715 0.7500
Fe 0.4298 0.5702 0.2500
Fe 0.5702 0.4298 0.7500
La 0.5757 0.8981 0.2500
La 0.1019 0.4243 0.2500
La 0.8981 0.5757 0.7500
La 0.4243 0.1019 0.7500
La 0.0000 0.0000 0.0000
La 0.0000 0.0000 0.5000
CELL_PARAMETERS angstrom
3.4098 -8.6353 0.0000
3.4098 8.6353 0.0000
0.0000 0.0000 6.2196
```

Output
* relative energy among the computed polymorphs: 708 meV/atom
* DFT total energy: -5.0103 eV/atom

=====

# 2
An optimized crystal structure of La6FePb2. Source: the Alexandria database, functional PBE-GGA. Values from VASP.

The structure in Quantum ESPRESSO input format:
```
&SYSTEM
  ibrav = 0, nat = 18, ntyp = 3
/
ATOMIC_SPECIES
La 138.91 La.upf
Fe 55.84 Fe.upf
Pb 207.20 Pb.upf
ATOMIC_POSITIONS crystal
La 0.0006 0.0001 0.2535
La 0.7465 0.7464 0.4996
La 0.7537 0.7534 0.0003
La 0.7463 0.2534 0.4997
La 0.7535 0.2464 0.0004
La 0.4994 0.5001 0.2465
La 0.9994 0.9999 0.7465
La 0.2535 0.2536 0.5004
La 0.2463 0.2466 0.9997
La 0.2537 0.7466 0.5003
La 0.2465 0.7536 0.9996
La 0.5006 0.4999 0.7535
Fe 0.5000 0.5000 0.0000
Fe 0.0000 0.0000 0.5000
Pb 0.9999 0.5000 0.7500
Pb 0.5001 0.0000 0.7500
Pb 0.4999 0.0000 0.2500
Pb 0.0001 0.5000 0.2500
CELL_PARAMETERS angstrom
7.3752 0.0000 -0.1971
0.0000 7.3803 0.0000
0.2773 0.0000 10.4458
```

Output
* DFT total energy: -5.4260 eV/atom

=====

# 3
An optimized crystal structure of LaFe3Pb. Source: the Alexandria database, functional PBE-GGA. Values from VASP.

The structure in Quantum ESPRESSO input format:
```
&SYSTEM
  ibrav = 0, nat = 5, ntyp = 3
/
ATOMIC_SPECIES
Pb 207.20 Pb.upf
Fe 55.84 Fe.upf
La 138.91 La.upf
ATOMIC_POSITIONS crystal
Pb 0.5000 0.5000 0.5000
Fe 0.0000 0.5000 0.0000
Fe 0.0000 0.0000 0.5000
Fe 0.5000 0.0000 0.0000
La 0.0000 0.0000 0.0000
CELL_PARAMETERS angstrom
-1.5670 -2.4059 3.8205
2.9280 -3.6198 -1.0786
3.4367 1.9871 2.6609
```

Output
* relative energy among the computed polymorphs: 81 meV/atom
* DFT total energy: -5.3103 eV/atom

=====

# 4
An optimized crystal structure of La3FePb. Source: the Alexandria database, functional PBE-GGA. Values from VASP.

The structure in Quantum ESPRESSO input format:
```
&SYSTEM
  ibrav = 0, nat = 10, ntyp = 3
/
ATOMIC_SPECIES
Pb 207.20 Pb.upf
Fe 55.84 Fe.upf
La 138.91 La.upf
ATOMIC_POSITIONS crystal
Pb 0.3333 0.6667 0.7500
Pb 0.6667 0.3333 0.2500
Fe 0.0000 0.0000 0.0000
Fe 0.0000 0.0000 0.5000
La 0.0000 0.0000 0.2500
La 0.0000 0.0000 0.7500
La 0.3333 0.6667 0.0565
La 0.3333 0.6667 0.4435
La 0.6667 0.3333 0.5565
La 0.6667 0.3333 0.9435
CELL_PARAMETERS angstrom
4.7469 -2.7406 0.0000
0.0000 5.4813 0.0000
0.0000 0.0000 10.9585
```

Output
* relative energy among the computed polymorphs: 218 meV/atom
* DFT total energy: -5.4999 eV/atom

=====

# 5
An optimized crystal structure of La3FePb. Source: the Alexandria database, functional PBE-GGA. Values from VASP.

The structure in Quantum ESPRESSO input format:
```
&SYSTEM
  ibrav = 0, nat = 10, ntyp = 3
/
ATOMIC_SPECIES
Pb 207.20 Pb.upf
Fe 55.84 Fe.upf
La 138.91 La.upf
ATOMIC_POSITIONS crystal
Pb 0.4787 0.2500 0.7294
Pb 0.5213 0.7500 0.2706
Fe 0.1144 0.2500 0.3641
Fe 0.8856 0.7500 0.6359
La 0.9017 0.4947 0.1514
La 0.0983 0.5053 0.8486
La 0.9017 0.0053 0.1514
La 0.0983 0.9947 0.8486
La 0.6490 0.2500 0.3986
La 0.3510 0.7500 0.6014
CELL_PARAMETERS angstrom
-0.9310 -5.5037 -1.1099
1.1397 -1.5555 6.7575
-6.3268 6.4460 2.5508
```

Output
* relative energy among the computed polymorphs: 177 meV/atom
* DFT total energy: -5.5409 eV/atom

=====

# 6
An optimized crystal structure of La3FePb. Source: the Alexandria database, functional PBE-GGA. Values from VASP.

The structure in Quantum ESPRESSO input format:
```
&SYSTEM
  ibrav = 0, nat = 20, ntyp = 3
/
ATOMIC_SPECIES
Pb 207.20 Pb.upf
Fe 55.84 Fe.upf
La 138.91 La.upf
ATOMIC_POSITIONS crystal
Pb 0.0566 0.1101 0.5119
Pb 0.9434 0.8899 0.4881
Pb 0.4434 0.6101 0.9881
Pb 0.5566 0.3899 0.0119
Fe 0.5558 0.6708 0.8041
Fe 0.4442 0.3292 0.1959
Fe 0.9442 0.1708 0.6959
Fe 0.0558 0.8292 0.3041
La 0.3524 0.8913 0.0568
La 0.6476 0.1087 0.9432
La 0.1476 0.3913 0.4432
La 0.8524 0.6087 0.5568
La 0.3312 0.4757 0.1848
La 0.6688 0.5243 0.8152
La 0.1688 0.9757 0.3152
La 0.8312 0.0243 0.6848
La 0.3766 0.8887 0.5222
La 0.6234 0.1113 0.4778
La 0.1234 0.3887 0.9778
La 0.8766 0.6113 0.0222
CELL_PARAMETERS angstrom
27.8332 0.0000 -2.0717
0.0000 6.4156 0.0000
-9.8143 0.0000 3.9945
```

Output
* relative energy among the computed polymorphs: 180 meV/atom
* DFT total energy: -5.5376 eV/atom

=====

no.,formation energy from the elements (eV/f.u.)
1,1.90
2,-3.39
3,7.47
4,-0.55
5,-0.75
6,-0.73